No. 1
The following is a DFT calculation (GGA-PBE) of crystalline KCdCu2Pb at its relaxed geometry.

Calculated values
Fermi-level density of states	2.60	states/eV/f.u.
E_form	1.16	eV/atom
ρ	5.0	g cm⁻³
total energy	-1.622	eV/atom

Unit cell a=5.285 b=5.285 c=5.774 alpha=90.00 beta=90.00 gamma=90.00
Space group P4/mmm (No. 123)
One atom of each set of equivalent atoms:
K: 0.000 0.000 0.000
Cd: 0.000 0.000 0.500
Cu: 0.000 0.500 0.000
Pb: 0.500 0.500 0.500

***

No. 2
The following is a DFT calculation (GGA-PBE) of crystalline Mo2RuCl at its relaxed geometry.

Calculated values
offset from the most stable computed form	0.000	eV per atom
Fermi-level density of states	2.56	states/eV/f.u.
energy relative to the elements, uncorrected	0.2175	eV/atom
ρ	8.3	g cm⁻³
total energy	-7.979	eV/atom

Unit cell a=2.8604 b=2.8604 c=27.9739 alpha=90.00 beta=90.00 gamma=120.00
Space group R3m (No. 160, hexagonal axes)
One atom of each set of equivalent atoms:
Mo: 0.0000 0.0000 0.0000
Mo: 0.0000 0.0000 0.2465
Ru: 0.0000 0.0000 0.5064
Cl: 0.0000 0.0000 0.7325

***

No. 3
The following is a DFT calculation (GGA-PBE) of crystalline Sm2ThCo9 at its relaxed geometry.

Calculated values
Fermi-level density of states	17.25	states/eV/f.u.
E_form	-0.13	eV/atom
ρ	9.8	g cm⁻³
total energy	-6.861	eV/atom

Unit cell a=4.9989 b=4.9989 c=24.9359 alpha=90.00 beta=90.00 gamma=120.00
Space group R-3m (No. 166, hexagonal axes)
One atom of each set of equivalent atoms:
Sm: 0.0000 0.0000 0.1402
Th: 0.0000 0.0000 0.0000
Co: 0.0000 0.0000 0.3338
Co: 0.0000 0.0000 0.5000
Co: 0.9999 0.5000 0.0806

***

No. 4
The following is a DFT calculation (GGA-PBE) of crystalline Nd2GdPt at its relaxed geometry.

Calculated values
offset from the most stable computed form	0.231	eV per atom
Fermi-level density of states	6.97	states/eV/f.u.
E_form	-0.26	eV/atom
ρ	7.9	g cm⁻³
total energy	-7.672	eV/atom

Unit cell a=3.8180 b=3.8180 c=32.1802 alpha=90.00 beta=90.00 gamma=120.00
Space group R-3m (No. 166, hexagonal axes)
One atom of each set of equivalent atoms:
Nd: 0.0000 0.0000 0.1091
Gd: 0.0000 0.0000 0.0000
Pt: 0.0000 0.0000 0.5000

***

No. 5
The following is a DFT calculation (GGA-PBE) of crystalline NaNd2Bi4 at its relaxed geometry.

Calculated values
Fermi-level density of states	4.35	states/eV/f.u.
E_form	-0.51	eV/atom
ρ	7.9	g cm⁻³
total energy	-4.283	eV/atom

Unit cell a=4.551 b=4.551 c=11.633 alpha=90.00 beta=90.00 gamma=90.00
Space group P-4m2 (No. 115)
One atom of each set of equivalent atoms:
Na: 0.000 0.000 0.000
Nd: 0.000 0.500 0.722
Bi: 0.000 0.000 0.500
Bi: 0.000 0.500 0.207
Bi: 0.500 0.500 0.500

***

No. 6
The following is a DFT calculation (GGA-PBE) of crystalline BaSrCuAs2 at its relaxed geometry.

Calculated values
Fermi-level density of states	2.66	states/eV/f.u.
E_form	-0.17	eV/atom
ρ	5.2	g cm⁻³
total energy	-3.574	eV/atom

Unit cell a=5.225 b=5.225 c=5.166 alpha=90.00 beta=90.00 gamma=90.00
Space group P4/mmm (No. 123)
One atom of each set of equivalent atoms:
Ba: 0.000 0.000 0.000
Sr: 0.500 0.500 0.000
Cu: 0.000 0.000 0.500
As: 0.000 0.500 0.500

***

No. 7
The following is a DFT calculation (GGA-PBE) of crystalline AcLa3Nd2Se6 at its relaxed geometry.

Calculated values
Fermi-level density of states	6.32	states/eV/f.u.
energy relative to the elements, uncorrected	-1.9239	eV/atom
ρ	6.9	g cm⁻³
total energy	-6.035	eV/atom

Unit cell a=7.465 b=12.966 c=7.464 alpha=90.00 beta=109.61 gamma=90.00
Space group C2/m (No. 12)
One atom of each set of equivalent atoms:
Ac: 0.000 0.000 0.000
La: 0.000 0.164 0.500
La: 0.000 0.500 0.500
Nd: 0.000 0.333 0.000
Se: 0.241 0.500 0.248
Se: 0.246 0.330 0.749

***

No. 8
The following is a DFT calculation (GGA-PBE) of crystalline SrLaZr2 at its relaxed geometry.

Calculated values
offset from the most stable computed form	0.515	eV per atom
Fermi-level density of states	7.04	states/eV/f.u.
E_form	0.75	eV/atom
ρ	5.6	g cm⁻³
total energy	-5.174	eV/atom

Unit cell a=4.609 b=4.609 c=22.935 alpha=90.00 beta=90.00 gamma=90.00
Space group I-42d (No. 122)
One atom of each set of equivalent atoms:
Sr: 0.000 0.000 0.000
La: 0.000 0.000 0.500
Zr: 0.234 0.250 0.625

***

No. 9
The following is a DFT calculation (GGA-PBE) of crystalline Cr2ReRu at its relaxed geometry.

Calculated values
Fermi-level density of states	4.34	states/eV/f.u.
E_form	0.09	eV/atom
ρ	12.4	g cm⁻³
total energy	-10.154	eV/atom

Unit cell a=2.913 b=4.255 c=8.467 alpha=90.00 beta=90.00 gamma=90.00
Space group Imm2 (No. 44)
One atom of each set of equivalent atoms:
Cr: 0.000 0.000 0.000
Cr: 0.000 0.500 0.288
Re: 0.000 0.500 0.757
Ru: 0.000 0.000 0.528

***

No. 10
The following is a DFT calculation (GGA-PBE) of crystalline Rb2MgMn at its relaxed geometry.

Calculated values
Fermi-level density of states	5.40	states/eV/f.u.
E_form	0.75	eV/atom
ρ	1.8	g cm⁻³
total energy	-2.429	eV/atom

Unit cell a=13.157 b=13.157 c=5.433 alpha=90.00 beta=90.00 gamma=90.00
Space group I-42d (No. 122)
One atom of each set of equivalent atoms:
Rb: 0.095 0.250 0.125
Mg: 0.000 0.000 0.500
Mn: 0.000 0.000 0.000

***

No. 11
The following is a DFT calculation (GGA-PBE) of crystalline Pm2Pr9Sm at its relaxed geometry.

Calculated values
Fermi-level density of states	20.50	states/eV/f.u.
E_form	0.01	eV/atom
ρ	6.6	g cm⁻³
total energy	-4.757	eV/atom

Unit cell a=5.225 b=5.225 c=15.672 alpha=90.00 beta=90.00 gamma=90.00
Space group P4/mmm (No. 123)
One atom of each set of equivalent atoms:
Pm: 0.000 0.000 0.167
Pr: 0.000 0.500 0.000
Pr: 0.000 0.500 0.334
Pr: 0.500 0.500 0.167
Pr: 0.500 0.500 0.500
Sm: 0.000 0.000 0.500

***

No. 12
The following is a DFT calculation (GGA-PBE) of crystalline GaH3Cl at its relaxed geometry.

Calculated values
offset from the most stable computed form	1.168	eV per atom
Fermi-level density of states	1.44	states/eV/f.u.
ρ	3.2	g cm⁻³
total energy	-2.051	eV/atom

Unit cell a=3.828 b=3.828 c=3.828 alpha=90.00 beta=90.00 gamma=90.00
Space group Pm-3m (No. 221)
One atom of each set of equivalent atoms:
Ga: 0.000 0.000 0.000
H: 0.000 0.500 0.500
Cl: 0.500 0.500 0.500

***

No. 13
The following is a DFT calculation (GGA-PBE) of crystalline CdTc2Ru at its relaxed geometry.

Calculated values
Fermi-level density of states	4.27	states/eV/f.u.
E_form	0.45	eV/atom
ρ	10.7	g cm⁻³
total energy	-7.280	eV/atom

Unit cell a=2.883 b=4.620 c=9.511 alpha=90.00 beta=90.00 gamma=90.00
Space group Cmmm (No. 65)
One atom of each set of equivalent atoms:
Cd: 0.000 0.000 0.000
Tc: 0.000 0.500 0.268
Ru: 0.000 0.000 0.500

***

No. 14
The following is a DFT calculation (GGA-PBE) of crystalline GdTmTlCu at its relaxed geometry.

Calculated values
Fermi-level density of states	3.63	states/eV/f.u.
E_form	-0.25	eV/atom
ρ	10.1	g cm⁻³
total energy	-6.504	eV/atom

Unit cell a=7.304 b=7.304 c=7.304 alpha=90.00 beta=90.00 gamma=90.00
Space group F-43m (No. 216)
One atom of each set of equivalent atoms:
Gd: 0.000 0.000 0.000
Tm: 0.000 0.000 0.500
Tl: 0.250 0.250 0.750
Cu: 0.250 0.250 0.250

***

No. 15
The following is a DFT calculation (GGA-PBE) of crystalline AlV2Cr2 at its relaxed geometry.

Calculated values
offset from the most stable computed form	0.344	eV per atom
Fermi-level density of states	6.54	states/eV/f.u.
E_form	0.20	eV/atom
ρ	5.6	g cm⁻³
total energy	-8.044	eV/atom

Unit cell a=6.751 b=6.751 c=3.013 alpha=90.00 beta=90.00 gamma=90.00
Space group P4/mbm (No. 127)
One atom of each set of equivalent atoms:
Al: 0.000 0.000 0.000
V: 0.163 0.337 0.500
Cr: 0.141 0.641 0.000

***

No. 16
The following is a DFT calculation (GGA-PBE) of crystalline CaGdPtAu at its relaxed geometry.

Calculated values
Fermi-level density of states	2.19	states/eV/f.u.
E_form	-0.93	eV/atom
ρ	10.8	g cm⁻³
total energy	-7.279	eV/atom

Unit cell a=7.123 b=7.123 c=7.123 alpha=90.00 beta=90.00 gamma=90.00
Space group F-43m (No. 216)
One atom of each set of equivalent atoms:
Ca: 0.000 0.000 0.000
Gd: 0.000 0.000 0.500
Pt: 0.250 0.250 0.250
Au: 0.250 0.250 0.750

***

No. 17
The following is a DFT calculation (GGA-PBE) of crystalline Mg2ScP2 at its relaxed geometry.

Calculated values
Fermi-level density of states	2.57	states/eV/f.u.
E_form	-0.61	eV/atom
ρ	2.8	g cm⁻³
total energy	-4.678	eV/atom

Unit cell a=7.093 b=7.093 c=3.700 alpha=90.00 beta=90.00 gamma=90.00
Space group P4/mbm (No. 127)
One atom of each set of equivalent atoms:
Mg: 0.146 0.354 0.000
Sc: 0.000 0.000 0.500
P: 0.164 0.664 0.500

***

No. 18
The following is a DFT calculation (GGA-PBE) of crystalline Cu4AsRh at its relaxed geometry.

Calculated values
Fermi-level density of states	3.82	states/eV/f.u.
E_form	0.14	eV/atom
ρ	8.9	g cm⁻³
total energy	-4.588	eV/atom

Unit cell a=6.847 b=6.847 c=6.847 alpha=90.00 beta=90.00 gamma=90.00
Space group F-43m (No. 216)
One atom of each set of equivalent atoms:
Cu: 0.125 0.125 0.125
As: 0.250 0.250 0.750
Rh: 0.000 0.000 0.500

***

No. 19
The following is a DFT calculation (GGA-PBE) of crystalline TbCeTmPb at its relaxed geometry.

Calculated values
Fermi-level density of states	8.38	states/eV/f.u.
E_form	-0.04	eV/atom
ρ	9.9	g cm⁻³
total energy	-4.726	eV/atom

Unit cell a=7.669 b=7.669 c=7.669 alpha=90.00 beta=90.00 gamma=90.00
Space group F-43m (No. 216)
One atom of each set of equivalent atoms:
Tb: 0.000 0.000 0.000
Ce: 0.250 0.250 0.250
Tm: 0.000 0.000 0.500
Pb: 0.250 0.250 0.750

***

No. 20
The following is a DFT calculation (GGA-PBE) of crystalline Nd2Zn3Ag at its relaxed geometry.

Calculated values
Fermi-level density of states	4.13	states/eV/f.u.
E_form	-0.33	eV/atom
ρ	7.4	g cm⁻³
total energy	-3.031	eV/atom

Unit cell a=7.072 b=9.340 c=16.152 alpha=90.00 beta=90.00 gamma=90.00
Space group Fmmm (No. 69)
One atom of each set of equivalent atoms:
Nd: 0.244 0.000 0.000
Nd: 0.250 0.250 0.250
Zn: 0.000 0.000 0.337
Zn: 0.000 0.245 0.418
Ag: 0.000 0.000 0.167